## P
SrPrN, optimized geometry, DFT PBE; crystal system = hexagonal; space group = No. 187; M_tot = 0.00 μB per cell
1.0
-2.552 -1.779 1.906
3.187 0.844 1.563
-5.243 12.021 4.202
N Sr Pr
2 2 2
Direct
0.000 0.000 0.000
0.333 0.667 0.500
0.000 0.000 0.393
0.000 0.000 0.607
0.333 0.667 0.888
0.333 0.667 0.112

---

## Q
SrPrN, optimized geometry, DFT PBE; crystal system = trigonal; space group = No. 156; M_tot = 0.25 μB per cell
1.0
3.797 0.000 0.000
-1.898 3.288 0.000
0.000 0.000 6.565
Pr Sr N
1 1 1
Direct
0.667 0.333 0.465
0.000 0.000 0.904
0.333 0.667 0.631

---

The data favor Q; the next most stable structure lies 27.9 kJ/mol of atoms above it.

---

## P
Pr2TaN3, optimized geometry, DFT PBE; crystal system = monoclinic; space group = No. 15; M_tot = 0.00 μB per cell
1.0
5.594 0.000 0.410
2.797 5.633 0.205
-0.005 0.000 12.436
Pr Ta N
8 4 12
Direct
0.581 0.398 0.358
0.021 0.398 0.142
0.419 0.602 0.642
0.979 0.602 0.858
0.340 0.771 0.078
0.889 0.771 0.422
0.660 0.229 0.922
0.111 0.229 0.578
0.702 0.006 0.170
0.292 0.006 0.330
0.298 0.994 0.830
0.708 0.994 0.670
0.638 0.723 0.250
0.362 0.277 0.750
0.525 0.342 0.118
0.133 0.342 0.382
0.475 0.658 0.882
0.867 0.658 0.618
0.670 0.198 0.542
0.132 0.198 0.958
0.330 0.802 0.458
0.868 0.802 0.042
0.993 0.014 0.250
0.007 0.986 0.750

---

## Q
Pr2TaN3, optimized geometry, DFT PBE; crystal system = orthorhombic; space group = No. 63; M_tot = 0.00 μB per cell
1.0
5.734 -0.318 -0.227
0.343 5.988 0.232
0.343 2.176 5.583
Pr Ta N
4 2 6
Direct
0.750 0.169 0.486
0.250 0.486 0.169
0.750 0.514 0.831
0.250 0.831 0.514
0.750 0.904 0.096
0.250 0.096 0.904
0.250 0.388 0.612
0.750 0.612 0.388
0.000 0.852 0.852
0.500 0.148 0.148
0.500 0.852 0.852
0.000 0.148 0.148

---

The data favor P; the next most stable structure lies 9.8 kJ/mol of atoms above it.

---

## P
PrTaN, optimized geometry, DFT PBE; crystal system = tetragonal; space group = No. 129; M_tot = 0.00 μB per cell
1.0
-1.993 0.811 2.932
2.329 -1.848 2.094
4.815 7.445 1.216
Pr N Ta
2 2 2
Direct
0.000 0.500 0.813
0.500 0.000 0.187
0.000 0.500 0.334
0.500 0.000 0.666
0.500 0.500 0.500
0.000 0.000 0.500

---

## Q
PrTaN, optimized geometry, DFT PBE; crystal system = tetragonal; space group = No. 107; M_tot = 0.00 μB per cell
1.0
-2.720 0.500 1.259
-1.355 -1.068 -2.502
2.101 -5.480 3.046
Pr N Ta
1 1 1
Direct
0.974 0.974 0.949
0.754 0.754 0.509
0.271 0.271 0.542

---

The data favor Q; the next most stable structure lies 17.5 kJ/mol of atoms above it.

---

## P
TbPrN, optimized geometry, DFT PBE; crystal system = cubic; space group = No. 216; M_tot = 0.00 μB per cell
1.0
-2.775 3.318 -0.645
-2.420 0.151 -3.639
-4.314 -0.684 0.213
Pr Tb N
1 1 1
Direct
0.000 0.000 0.000
0.500 0.500 0.500
0.250 0.250 0.250

---

## Q
TbPrN, optimized geometry, DFT PBE; crystal system = tetragonal; space group = No. 107; M_tot = 0.00 μB per cell
1.0
-3.463 1.615 -2.872
-3.258 -2.300 2.636
2.957 3.526 2.396
Pr Tb N
1 1 1
Direct
0.347 0.347 0.694
0.881 0.881 0.763
0.621 0.621 0.243

---

The data favor P; the next most stable structure lies 46.8 kJ/mol of atoms above it.

---

## P
TbPrN, optimized geometry, DFT PBE; crystal system = orthorhombic; space group = No. 44; M_tot = 0.67 μB per cell
1.0
-2.210 -0.016 2.614
4.306 -2.258 1.388
3.064 4.005 0.376
Tb N Pr
1 1 1
Direct
0.619 0.450 0.450
0.910 0.241 0.241
0.154 0.985 0.985

---

## Q
TbPrN, optimized geometry, DFT PBE; crystal system = trigonal; space group = No. 156; M_tot = 0.39 μB per cell
1.0
6.355 0.000 0.000
0.000 3.576 0.000
0.000 -1.788 3.097
Pr Tb N
1 1 1
Direct
0.773 0.667 0.333
0.207 0.333 0.667
0.020 0.000 0.000

---

The data favor Q; the next most stable structure lies 45.1 kJ/mol of atoms above it.

---

## P
PrTcN2, optimized geometry, DFT PBE; crystal system = triclinic; space group = No. 1; M_tot = 0.00 μB per cell
1.0
3.195 0.006 0.021
0.004 3.238 0.005
-1.565 -1.608 5.434
Pr Tc N
1 1 2
Direct
0.239 0.881 0.235
0.473 0.630 0.732
0.869 0.532 0.510
0.554 0.232 0.936

---

## Q
PrTcN2, optimized geometry, DFT PBE; crystal system = trigonal; space group = No. 166; M_tot = 1.72 μB per cell
1.0
-1.580 2.968 0.520
-3.396 0.111 0.175
-1.419 0.251 5.388
Pr Tc N
1 1 2
Direct
0.500 0.500 0.500
0.000 0.000 0.000
0.267 0.267 0.198
0.733 0.733 0.802

---

## R
PrTcN2, optimized geometry, DFT PBE; crystal system = orthorhombic; space group = No. 62; M_tot = 0.00 μB per cell
1.0
3.342 0.000 0.000
0.000 5.886 0.000
0.000 0.000 10.844
Pr Tc N
4 4 8
Direct
0.750 0.081 0.147
0.250 0.919 0.853
0.750 0.581 0.353
0.250 0.419 0.647
0.250 0.560 0.092
0.250 0.060 0.408
0.750 0.440 0.908
0.750 0.940 0.592
0.750 0.230 0.487
0.250 0.770 0.513
0.750 0.730 0.013
0.250 0.270 0.987
0.750 0.163 0.748
0.250 0.337 0.248
0.750 0.663 0.752
0.250 0.837 0.252

---

The data favor R; the next most stable structure lies 18.6 kJ/mol of atoms above it.